! PBE-GGA LaHfS2, relaxed; values from VASP
&SYSTEM
  ibrav = 0, nat = 4, ntyp = 3
/
ATOMIC_SPECIES
La 138.91 La.upf
Hf 178.49 Hf.upf
S 32.06 S.upf
CELL_PARAMETERS angstrom
0.000 3.395 3.395
3.395 0.000 3.395
3.395 3.395 0.000
ATOMIC_POSITIONS angstrom
La 0.000 0.000 0.000
Hf 3.395 3.395 3.395
S 1.697 1.697 1.697
S 5.092 5.092 5.092
! Spin magnetization   0.00 μB/cell
! Energy relative to the elements, uncorrected   -1286 meV/atom
! Relative energy among the computed polymorphs   0.0 meV per atom
! Crystal system   cubic